[1]
This record from the Alexandria database describes an optimized crystal structure of LiRu. The functional is PBE.

Output
**Total DFT energy (no corrections)**: -3.99 eV/atom
**Formation enthalpy at 0 K**: 155.0 kJ per mole of atoms

Cell lengths 4.0126, 4.0126, 4.5769 Å; angles 90.00, 90.00, 120.00 degrees
Space group P6_3/mmc (No. 194)
One atom of each set of equivalent atoms:
Li: 0.3333 0.6667 0.2500 (multiplicity 2)
Ru: 0.3333 0.6667 0.7500 (multiplicity 2)



[2]
This record from the Alexandria database describes an optimized crystal structure of LiRu. The functional is PBE.

Output
**Total DFT energy (no corrections)**: -4.12 eV/atom
**Formation enthalpy at 0 K**: 141.9 kJ per mole of atoms

Cell lengths 8.2699, 8.2699, 8.2699 Å; angles 90.00, 90.00, 90.00 degrees
Space group I-43m (No. 217)
One atom of each set of equivalent atoms:
Li: 0.2006 0.2006 0.2006 (multiplicity 8)
Ru: 0.1080 0.1080 0.8920 (multiplicity 8)



[3]
This record from the Alexandria database describes an optimized crystal structure of LiRu. The functional is PBE.

Output
**Total DFT energy (no corrections)**: -5.34 eV/atom
**Formation enthalpy at 0 K**: 24.8 kJ per mole of atoms

Cell lengths 2.5017, 2.5017, 4.3804 Å; angles 90.00, 90.00, 90.00 degrees
Space group P4/mmm (No. 123)
One atom of each set of equivalent atoms:
Li: 0.0000 0.0000 0.0000 (multiplicity 1)
Ru: 0.5000 0.5000 0.5000 (multiplicity 1)



[4]
This record from the Alexandria database describes an optimized crystal structure of Li2Ru. The functional is PBE.

Output
**Total DFT energy (no corrections)**: -4.22 eV/atom
**Formation enthalpy at 0 K**: 14.6 kJ per mole of atoms

Cell lengths 2.5477, 2.5477, 13.5007 Å; angles 90.00, 90.00, 90.00 degrees
Space group I4/mmm (No. 139)
One atom of each set of equivalent atoms:
Li: 0.0000 0.0000 0.1539 (multiplicity 4)
Ru: 0.0000 0.0000 0.5000 (multiplicity 2)



[5]
This record from the Alexandria database describes an optimized crystal structure of LiRu. The functional is PBE.

Output
**Total DFT energy (no corrections)**: -5.39 eV/atom
**Formation enthalpy at 0 K**: 19.5 kJ per mole of atoms

Cell lengths 2.5064, 4.3998, 5.0256 Å; angles 90.00, 90.07, 90.00 degrees
Space group P2_1/m (No. 11)
One atom of each set of equivalent atoms:
Li: 0.0020 0.2500 0.3745 (multiplicity 2)
Ru: 0.4999 0.2500 0.8852 (multiplicity 2)



[6]
This record from the Alexandria database describes an optimized crystal structure of LiRu. The functional is PBE.

Output
**Total DFT energy (no corrections)**: -5.43 eV/atom
**Formation enthalpy at 0 K**: 15.7 kJ per mole of atoms

Cell lengths 2.7316, 2.7316, 27.2775 Å; angles 90.00, 90.00, 120.00 degrees
Space group R-3m (No. 166, hexagonal axes)
One atom of each set of equivalent atoms:
Li: 0.0000 0.0000 0.2136 (multiplicity 6)
Ru: 0.0000 0.0000 0.3712 (multiplicity 6)



[7]
This record from the Alexandria database describes an optimized crystal structure of Li3Ru. The functional is PBE.

Output
**Total DFT energy (no corrections)**: -3.65 eV/atom
**Formation enthalpy at 0 K**: 10.2 kJ per mole of atoms

Cell lengths 2.4900, 8.9422, 4.9733 Å; angles 90.00, 90.00, 90.00 degrees
Space group Imm2 (No. 44)
One atom of each set of equivalent atoms:
Li: 0.0000 0.0000 0.0000 (multiplicity 2)
Li: 0.0000 0.2448 0.2879 (multiplicity 4)
Ru: 0.0000 0.5000 0.0016 (multiplicity 2)



[8]
This record from the Alexandria database describes an optimized crystal structure of LiRu. The functional is PBE.

Output
**Total DFT energy (no corrections)**: -3.56 eV/atom
**Formation enthalpy at 0 K**: 196.7 kJ per mole of atoms

Cell lengths 5.2495, 5.2495, 5.2495 Å; angles 90.00, 90.00, 90.00 degrees
Space group F-43m (No. 216)
One atom of each set of equivalent atoms:
Li: 0.0000 0.0000 0.0000 (multiplicity 4)
Ru: 0.2500 0.2500 0.2500 (multiplicity 4)



[9]
This record from the Alexandria database describes an optimized crystal structure of LiRu. The functional is PBE.

Output
**Total DFT energy (no corrections)**: -4.88 eV/atom
**Formation enthalpy at 0 K**: 69.2 kJ per mole of atoms

Cell lengths 5.9413, 7.4931, 8.9051 Å; angles 90.00, 90.00, 90.00 degrees
Space group Fddd (No. 70, origin choice 2)
One atom of each set of equivalent atoms:
Li: 0.0371 0.3750 0.3750 (multiplicity 16)
Ru: 0.1250 0.3038 0.6250 (multiplicity 16)



[10]
This record from the Alexandria database describes an optimized crystal structure of Li2Ru. The functional is PBE.

Output
**Total DFT energy (no corrections)**: -4.17 eV/atom
**Formation enthalpy at 0 K**: 19.4 kJ per mole of atoms

Cell lengths 8.4592, 4.7267, 4.2616 Å; angles 90.00, 90.00, 90.00 degrees
Space group Cmcm (No. 63)
One atom of each set of equivalent atoms:
Li: 0.1695 0.1470 0.2500 (multiplicity 8)
Ru: 0.0000 0.3834 0.7500 (multiplicity 4)



[11]
This record from the Alexandria database describes an optimized crystal structure of LiRu. The functional is PBE.

Output
**Total DFT energy (no corrections)**: -5.42 eV/atom
**Formation enthalpy at 0 K**: 16.8 kJ per mole of atoms

Cell lengths 10.3890, 2.6522, 6.2493 Å; angles 90.00, 102.64, 90.00 degrees
Space group Cm (No. 8)
One atom of each set of equivalent atoms:
Li: 0.0000 0.0000 0.0000 (multiplicity 2)
Li: 0.0476 0.0000 0.6393 (multiplicity 2)
Li: 0.1442 0.5000 0.3444 (multiplicity 2)
Ru: 0.2436 0.5000 0.9713 (multiplicity 2)
Ru: 0.3158 0.0000 0.6645 (multiplicity 2)
Ru: 0.3679 0.0000 0.2999 (multiplicity 2)



[12]
This record from the Alexandria database describes an optimized crystal structure of LiRu. The functional is PBE.

Output
**Total DFT energy (no corrections)**: -5.20 eV/atom
**Formation enthalpy at 0 K**: 38.4 kJ per mole of atoms

Cell lengths 9.9692, 9.9692, 2.6818 Å; angles 90.00, 90.00, 90.00 degrees
Space group I4/m (No. 87)
One atom of each set of equivalent atoms:
Li: 0.1258 0.8234 0.0000 (multiplicity 8)
Ru: 0.0727 0.3638 0.0000 (multiplicity 8)



[13]
This record from the Alexandria database describes an optimized crystal structure of LiRu. The functional is PBE.

Output
**Total DFT energy (no corrections)**: -4.68 eV/atom
**Formation enthalpy at 0 K**: 88.0 kJ per mole of atoms

Cell lengths 4.7687, 4.7687, 4.7348 Å; angles 90.00, 90.00, 90.00 degrees
Space group P4_2/mnm (No. 136)
One atom of each set of equivalent atoms:
Li: 0.1806 0.1806 0.0000 (multiplicity 4)
Ru: 0.1820 0.1820 0.5000 (multiplicity 4)



[14]
This record from the Alexandria database describes an optimized crystal structure of LiRu. The functional is PBE.

Output
**Total DFT energy (no corrections)**: -5.50 eV/atom
**Formation enthalpy at 0 K**: 8.8 kJ per mole of atoms

Cell lengths 5.8999, 5.8999, 5.8999 Å; angles 90.00, 90.00, 90.00 degrees
Space group Fd-3m (No. 227, origin choice 2)
One atom of each set of equivalent atoms:
Li: 0.1250 0.1250 0.1250 (multiplicity 8)
Ru: 0.1250 0.1250 0.6250 (multiplicity 8)



[15]
This record from the Alexandria database describes an optimized crystal structure of Li3Ru. The functional is PBE.

Output
**Total DFT energy (no corrections)**: -3.63 eV/atom
**Formation enthalpy at 0 K**: 11.7 kJ per mole of atoms

Cell lengths 2.7019, 2.7019, 29.1593 Å; angles 90.00, 90.00, 120.00 degrees
Space group R-3m (No. 166, hexagonal axes)
One atom of each set of equivalent atoms:
Li: 0.0000 0.0000 0.0000 (multiplicity 3)
Li: 0.0000 0.0000 0.2412 (multiplicity 6)
Ru: 0.0000 0.0000 0.5000 (multiplicity 3)



[16]
This record from the Alexandria database describes an optimized crystal structure of LiRu5. The functional is PBE.

Output
**Total DFT energy (no corrections)**: -7.91 eV/atom
**Relative energy among the computed polymorphs**: 0.004 eV/atom
**Formation enthalpy at 0 K**: 13.2 kJ per mole of atoms

Cell lengths 4.6612, 4.6612, 4.3050 Å; angles 90.00, 90.00, 120.00 degrees
Space group P-62m (No. 189)
One atom of each set of equivalent atoms:
Li: 0.0000 0.0000 0.0000 (multiplicity 1)
Ru: 0.0000 0.6806 0.5000 (multiplicity 3)
Ru: 0.3333 0.6667 0.0000 (multiplicity 2)



[17]
This record from the Alexandria database describes an optimized crystal structure of LiRu4. The functional is PBE.

Output
**Total DFT energy (no corrections)**: -6.61 eV/atom
**Relative energy among the computed polymorphs**: 0.160 eV/atom
**Formation enthalpy at 0 K**: 114.9 kJ per mole of atoms

Cell lengths 5.2658, 5.2658, 5.2658 Å; angles 90.00, 90.00, 90.00 degrees
Space group Im-3m (No. 229)
One atom of each set of equivalent atoms:
Li: 0.0000 0.0000 0.0000 (multiplicity 2)
Ru: 0.2500 0.2500 0.2500 (multiplicity 8)



[18]
This record from the Alexandria database describes an optimized crystal structure of Li3Ru. The functional is PBE.

Output
**Total DFT energy (no corrections)**: -3.63 eV/atom
**Formation enthalpy at 0 K**: 11.9 kJ per mole of atoms

Cell lengths 2.5015, 4.4842, 5.0619 Å; angles 90.00, 96.28, 90.00 degrees
Space group P2/m (No. 10)
One atom of each set of equivalent atoms:
Li: 0.0000 0.0000 0.0000 (multiplicity 1)
Li: 0.1678 0.5000 0.7251 (multiplicity 2)
Ru: 0.5000 0.0000 0.5000 (multiplicity 1)



[19]
This record from the Alexandria database describes an optimized crystal structure of Li4Ru5. The functional is PBE.

Output
**Total DFT energy (no corrections)**: -5.76 eV/atom
**Relative energy among the computed polymorphs**: 0.000 eV/atom
**Formation enthalpy at 0 K**: 23.6 kJ per mole of atoms

Cell lengths 7.8655, 7.8655, 3.8538 Å; angles 90.00, 90.00, 90.00 degrees
Space group I4/mmm (No. 139)
One atom of each set of equivalent atoms:
Li: 0.0000 0.3297 0.0000 (multiplicity 8)
Ru: 0.0000 0.0000 0.0000 (multiplicity 2)
Ru: 0.1656 0.1656 0.5000 (multiplicity 8)



[20]
This record from the Alexandria database describes an optimized crystal structure of LiRu. The functional is PBE.

Output
**Total DFT energy (no corrections)**: -5.39 eV/atom
**Formation enthalpy at 0 K**: 20.0 kJ per mole of atoms

Cell lengths 4.2960, 12.0980, 2.8631 Å; angles 90.00, 90.00, 90.00 degrees
Space group Cmmm (No. 65)
One atom of each set of equivalent atoms:
Li: 0.0000 0.0000 0.0000 (multiplicity 2)
Li: 0.0000 0.1466 0.5000 (multiplicity 4)
Ru: 0.0000 0.3172 0.0000 (multiplicity 4)
Ru: 0.0000 0.5000 0.5000 (multiplicity 2)



[21]
This record from the Alexandria database describes an optimized crystal structure of Li3Ru. The functional is PBE.

Output
**Total DFT energy (no corrections)**: -3.64 eV/atom
**Formation enthalpy at 0 K**: 11.3 kJ per mole of atoms

Cell lengths 9.2388, 2.4802, 4.9733 Å; angles 90.00, 96.63, 90.00 degrees
Space group C2/m (No. 12)
One atom of each set of equivalent atoms:
Li: 0.0000 0.0000 0.0000 (multiplicity 2)
Li: 0.2469 0.0000 0.7236 (multiplicity 4)
Ru: 0.0000 0.5000 0.5000 (multiplicity 2)



[22]
This record from the Alexandria database describes an optimized crystal structure of LiRu. The functional is PBE.

Output
**Total DFT energy (no corrections)**: -5.35 eV/atom
**Formation enthalpy at 0 K**: 23.6 kJ per mole of atoms

Cell lengths 3.0353, 4.2185, 7.7426 Å; angles 90.00, 90.00, 90.00 degrees
Space group Imma (No. 74)
One atom of each set of equivalent atoms:
Li: 0.0000 0.2500 0.1399 (multiplicity 4)
Ru: 0.0000 0.2500 0.6177 (multiplicity 4)



[23]
This record from the Alexandria database describes an optimized crystal structure of LiRu5. The functional is PBE.

Output
**Total DFT energy (no corrections)**: -7.92 eV/atom
**Relative energy among the computed polymorphs**: 0.000 eV/atom
**Formation enthalpy at 0 K**: 12.8 kJ per mole of atoms

Cell lengths 9.8378, 2.7200, 6.3597 Å; angles 90.00, 104.21, 90.00 degrees
Space group Cm (No. 8)
One atom of each set of equivalent atoms:
Li: 0.0000 0.0000 0.0000 (multiplicity 2)
Ru: 0.0514 0.0000 0.6111 (multiplicity 2)
Ru: 0.1636 0.5000 0.3340 (multiplicity 2)
Ru: 0.2252 0.5000 0.9350 (multiplicity 2)
Ru: 0.3260 0.0000 0.6601 (multiplicity 2)
Ru: 0.3807 0.0000 0.2798 (multiplicity 2)



[24]
This record from the Alexandria database describes an optimized crystal structure of Li2Ru2S. The functional is PBE.

Output
**Formation energy (no corrections)**: 1.0 eV per formula unit
**Total DFT energy (no corrections)**: -5.10 eV/atom
**Relative energy among the computed polymorphs**: 0.000 eV/atom

Cell lengths 3.3710, 3.3710, 15.4708 Å; angles 90.00, 90.00, 90.00 degrees
Space group I4/mmm (No. 139)
One atom of each set of equivalent atoms:
Li: 0.0000 0.0000 0.0838 (multiplicity 4)
Ru: 0.0000 0.5000 0.2500 (multiplicity 4)
S: 0.0000 0.0000 0.5000 (multiplicity 2)



[25]
This record from the Alexandria database describes an optimized crystal structure of LiRuS3. The functional is PBE.

Output
**Formation energy (no corrections)**: 0.4 eV per formula unit
**Total DFT energy (no corrections)**: -4.63 eV/atom
**Relative energy among the computed polymorphs**: 0.000 eV/atom

Cell lengths 4.6843, 4.6843, 4.6843 Å; angles 90.00, 90.00, 90.00 degrees
Space group Pm-3m (No. 221)
One atom of each set of equivalent atoms:
Li: 0.0000 0.0000 0.0000 (multiplicity 1)
Ru: 0.5000 0.5000 0.5000 (multiplicity 1)
S: 0.0000 0.5000 0.5000 (multiplicity 3)



[26]
This record from the Alexandria database describes an optimized crystal structure of Li3RuS. The functional is PBE.

Output
**Formation energy (no corrections)**: 3.8 eV per formula unit
**Total DFT energy (no corrections)**: -3.08 eV/atom
**Relative energy among the computed polymorphs**: 0.581 eV/atom

Cell lengths 4.7455, 4.7455, 4.7455 Å; angles 90.00, 90.00, 90.00 degrees
Space group Pm-3m (No. 221)
One atom of each set of equivalent atoms:
Li: 0.0000 0.0000 0.5000 (multiplicity 3)
Ru: 0.0000 0.0000 0.0000 (multiplicity 1)
S: 0.5000 0.5000 0.5000 (multiplicity 1)